DFT (GGA-PBE) results for a relaxed SmDySi2Pd2 crystal.

a b c (Å): 4.212 4.212 7.992
angles (deg): 90.00 90.00 120.00
Positions (direct):
Sm 0.000 0.000 0.000
Dy 0.000 0.000 0.500
Si 0.333 0.667 0.252
Si 0.667 0.333 0.748
Pd 0.333 0.667 0.737
Pd 0.667 0.333 0.263

Properties
Electronic total energy, eV for the cell shown: -36.1
Formation energy from raw total energies, eV per atom: -0.918